# 1
## TmCdCu (GGA-PBE)

Data for a relaxed TmCdCu crystal.

Computed properties:
Symmetry: F-43m, No. 216
Total moment (μB/f.u.): 0.01
DFT total energy (eV per atom): -2.691

a = 4.6738 Å, b = 4.6738 Å, c = 4.6738 Å
α = 60.00°, β = 60.00°, γ = 60.00°
Atoms (fractional coordinates):
Tm (0.0000, 0.0000, 0.0000)
Cd (0.7500, 0.7500, 0.7500)
Cu (0.2500, 0.2500, 0.2500)

---

# 2
## TbGdCu2Bi4 (GGA-PBE)

Data for a relaxed TbGdCu2Bi4 crystal.

Computed properties:
Symmetry: P4mm, No. 99
Total moment (μB/f.u.): 0.01
DFT total energy (eV per atom): -4.547

a = 4.5437 Å, b = 4.5437 Å, c = 9.6633 Å
α = 90.00°, β = 90.00°, γ = 90.00°
Atoms (fractional coordinates):
Tb (0.0000, 0.0000, 0.0000)
Gd (0.5000, 0.5000, 0.4722)
Cu (0.0000, 0.5000, 0.2350)
Cu (0.5000, 0.0000, 0.2350)
Bi (0.0000, 0.0000, 0.4015)
Bi (0.0000, 0.5000, 0.7366)
Bi (0.5000, 0.0000, 0.7366)
Bi (0.5000, 0.5000, 0.0690)

---

# 3
## LaInAg2 (GGA-PBE)

Data for a relaxed LaInAg2 crystal.

Computed properties:
Symmetry: Pnma, No. 62
Total moment (μB/f.u.): 0.00
DFT total energy (eV per atom): -3.704

a = 10.1809 Å, b = 7.2204 Å, c = 5.1004 Å
α = 90.00°, β = 90.00°, γ = 90.00°
Atoms (fractional coordinates):
La (0.1153, 0.2500, 0.2487)
La (0.3847, 0.7500, 0.7487)
La (0.6153, 0.2500, 0.2513)
La (0.8847, 0.7500, 0.7513)
In (0.1209, 0.7500, 0.2496)
In (0.3791, 0.2500, 0.7496)
In (0.6209, 0.7500, 0.2504)
In (0.8791, 0.2500, 0.7504)
Ag (0.1373, 0.0017, 0.7483)
Ag (0.1373, 0.4983, 0.7483)
Ag (0.3627, 0.5017, 0.2483)
Ag (0.3627, 0.9983, 0.2483)
Ag (0.6373, 0.0017, 0.7517)
Ag (0.6373, 0.4983, 0.7517)
Ag (0.8627, 0.5017, 0.2517)
Ag (0.8627, 0.9983, 0.2517)

---

# 4
## LuFeNiAs (GGA-PBE)

Data for a relaxed LuFeNiAs crystal.

Computed properties:
Symmetry: F-43m, No. 216
Total moment (μB/f.u.): 2.65
E above lowest polymorph (meV per atom): 25

a = 4.4778 Å, b = 4.4778 Å, c = 4.4778 Å
α = 60.00°, β = 60.00°, γ = 60.00°
Atoms (fractional coordinates):
Lu (0.0000, 0.0000, 0.0000)
Fe (0.5000, 0.5000, 0.5000)
Ni (0.7500, 0.7500, 0.7500)
As (0.2500, 0.2500, 0.2500)

---

# 5
## Y4BiAuN2 (GGA-PBE)

Data for a relaxed Y4BiAuN2 crystal.

Computed properties:
Symmetry: P-6m2, No. 187
Total moment (μB/f.u.): 0.00
DFT total energy (eV per atom): -7.356

a = 3.5863 Å, b = 3.5863 Å, c = 14.8120 Å
α = 90.00°, β = 90.00°, γ = 120.00°
Atoms (fractional coordinates):
Y (0.0000, 0.0000, 0.1473)
Y (0.0000, 0.0000, 0.8527)
Y (0.3333, 0.6667, 0.3278)
Y (0.3333, 0.6667, 0.6722)
Bi (0.0000, 0.0000, 0.5000)
Au (0.3333, 0.6667, 0.0000)
N (0.6667, 0.3333, 0.2476)
N (0.6667, 0.3333, 0.7524)

---

# 6
## AlPAuO (GGA-PBE)

Data for a relaxed AlPAuO crystal.

Computed properties:
Symmetry: P4/nmm, No. 129
E above lowest polymorph (meV per atom): 301

a = 3.7000 Å, b = 3.7000 Å, c = 8.9225 Å
α = 90.00°, β = 90.00°, γ = 90.00°
Atoms (fractional coordinates):
Al (0.2500, 0.2500, 0.0821)
Al (0.7500, 0.7500, 0.9179)
P (0.2500, 0.2500, 0.7086)
P (0.7500, 0.7500, 0.2914)
Au (0.2500, 0.7500, 0.5000)
Au (0.7500, 0.2500, 0.5000)
O (0.2500, 0.7500, 0.0000)
O (0.7500, 0.2500, 0.0000)

---

# 7
## AlZnFeMo (GGA-PBE)

Data for a relaxed AlZnFeMo crystal.

Computed properties:
Symmetry: F-43m, No. 216
Total moment (μB/f.u.): 0.82
E above lowest polymorph (meV per atom): 0

a = 4.2399 Å, b = 4.2399 Å, c = 4.2399 Å
α = 60.00°, β = 60.00°, γ = 60.00°
Atoms (fractional coordinates):
Al (0.0000, 0.0000, 0.0000)
Zn (0.7500, 0.7500, 0.7500)
Fe (0.2500, 0.2500, 0.2500)
Mo (0.5000, 0.5000, 0.5000)

---

# 8
## Li4MgAsPt2 (GGA-PBE)

Data for a relaxed Li4MgAsPt2 crystal.

Computed properties:
Symmetry: P-4m2, No. 115
Total moment (μB/f.u.): 0.01
DFT total energy (eV per atom): -3.841

a = 4.3832 Å, b = 4.3832 Å, c = 6.0219 Å
α = 90.00°, β = 90.00°, γ = 90.00°
Atoms (fractional coordinates):
Li (0.0000, 0.0000, 0.0000)
Li (0.0000, 0.5000, 0.7390)
Li (0.5000, 0.0000, 0.2610)
Li (0.5000, 0.5000, 0.5000)
Mg (0.5000, 0.5000, 0.0000)
As (0.0000, 0.0000, 0.5000)
Pt (0.0000, 0.5000, 0.2691)
Pt (0.5000, 0.0000, 0.7309)

---

Calculated volume for the records above, in order: 72.19 199.50 93.73 63.49 164.98 61.08 53.89 115.69 Å³/f.u.